(1)
Entry from the Alexandria database: a relaxed structure of TlCuPtS2 (PBE).

Values from the calculation:
Density of states at the Fermi level in states/eV per cell: 0.6
Size of the total moment in Bohr magnetons per cell: 0.000
Uncorrected energy in eV per atom: -4.4042
Density in g/cm3: 8.5
Formation energy (no corrections) in meV per atom: -252.5

Lattice parameters (Å, degrees): 3.658 4.041 6.932 90.00 90.00 90.00
Sites, in units of the cell vectors:
Tl 0.000 0.000 0.000
Cu 0.500 0.000 0.500
Pt 0.000 0.500 0.500
S 0.500 0.500 0.277
S 0.500 0.500 0.723

---

(2)
Entry from the Alexandria database: a relaxed structure of Pm3Pr4ScS8 (PBE).

Values from the calculation:
Density of states at the Fermi level in states/eV per cell: 8.5
Size of the total moment in Bohr magnetons per cell: 0.000
Uncorrected energy in eV per atom: -6.5282
Density in g/cm3: 5.8
Formation energy (no corrections) in meV per atom: -1983.1

Lattice parameters (Å, degrees): 8.094 8.094 8.094 59.58 59.58 59.58
Sites, in units of the cell vectors:
Pm 0.000 0.500 0.500
Pm 0.500 0.000 0.500
Pm 0.500 0.500 0.000
Pr 0.000 0.000 0.500
Pr 0.000 0.500 0.000
Pr 0.500 0.000 0.000
Pr 0.500 0.500 0.500
Sc 0.000 0.000 0.000
S 0.238 0.238 0.758
S 0.238 0.758 0.238
S 0.242 0.762 0.762
S 0.252 0.252 0.252
S 0.748 0.748 0.748
S 0.758 0.238 0.238
S 0.762 0.242 0.762
S 0.762 0.762 0.242

---

(3)
Entry from the Alexandria database: a relaxed structure of Sb2As (PBE).

Values from the calculation:
Density of states at the Fermi level in states/eV per cell: 3.3
Size of the total moment in Bohr magnetons per cell: 0.000
Uncorrected energy in eV per atom: -3.9737
Density in g/cm3: 6.9
Formation energy (no corrections) in meV per atom: 324.4

Lattice parameters (Å, degrees): 5.952 5.952 5.952 102.66 102.66 124.17
Sites, in units of the cell vectors:
Sb 0.140 0.640 0.781
Sb 0.360 0.140 0.500
Sb 0.640 0.860 0.500
Sb 0.860 0.360 0.219
As 0.250 0.250 0.000
As 0.750 0.750 0.000

---

(4)
Entry from the Alexandria database: a relaxed structure of CsRuSN2 (PBE).

Values from the calculation:
Density of states at the Fermi level in states/eV per cell: 6.7
Size of the total moment in Bohr magnetons per cell: 4.367
Uncorrected energy in eV per atom: -3.2254
Density in g/cm3: 4.3
Formation energy (no corrections) in meV per atom: 2956.1

Lattice parameters (Å, degrees): 4.163 4.163 6.625 90.00 90.00 90.00
Sites, in units of the cell vectors:
Cs 0.000 0.000 0.000
Ru 0.500 0.500 0.500
S 0.000 0.000 0.500
N 0.000 0.500 0.000
N 0.500 0.000 0.000

---

(5)
Entry from the Alexandria database: a relaxed structure of Y4AgTe2Se (PBE).

Values from the calculation:
Density of states at the Fermi level in states/eV per cell: 5.4
Size of the total moment in Bohr magnetons per cell: 0.000
Uncorrected energy in eV per atom: -5.9717
Density in g/cm3: 6.0
Formation energy (no corrections) in meV per atom: -1162.2

Lattice parameters (Å, degrees): 7.431 4.165 7.502 90.00 108.35 90.00
Sites, in units of the cell vectors:
Y 0.228 0.000 0.239
Y 0.230 0.500 0.744
Y 0.770 0.500 0.256
Y 0.772 0.000 0.761
Ag 0.000 0.000 0.500
Te 0.500 0.000 0.000
Te 0.500 0.500 0.500
Se 0.000 0.500 0.000

---

(6)
Entry from the Alexandria database: a relaxed structure of Pr16Nd6Sm7 (PBE).

Values from the calculation:
Density of states at the Fermi level in states/eV per cell: 39.7
ΔE_f in meV per atom: 198.6
Size of the total moment in Bohr magnetons per cell: 0.000
Uncorrected energy in eV per atom: -4.5639
Density in g/cm3: 6.5

Lattice parameters (Å, degrees): 11.492 11.492 11.492 60.00 60.00 60.00
Sites, in units of the cell vectors:
Pr 0.045 0.652 0.652
Pr 0.126 0.126 0.126
Pr 0.126 0.126 0.623
Pr 0.126 0.623 0.126
Pr 0.348 0.348 0.348
Pr 0.348 0.348 0.955
Pr 0.348 0.955 0.348
Pr 0.377 0.874 0.874
Pr 0.623 0.126 0.126
Pr 0.652 0.045 0.652
Pr 0.652 0.652 0.045
Pr 0.652 0.652 0.652
Pr 0.874 0.377 0.874
Pr 0.874 0.874 0.377
Pr 0.874 0.874 0.874
Pr 0.955 0.348 0.348
Nd 0.272 0.272 0.728
Nd 0.272 0.728 0.272
Nd 0.272 0.728 0.728
Nd 0.728 0.272 0.272
Nd 0.728 0.272 0.728
Nd 0.728 0.728 0.272
Sm 0.000 0.000 0.000
Sm 0.000 0.000 0.500
Sm 0.000 0.500 0.000
Sm 0.000 0.500 0.500
Sm 0.500 0.000 0.000
Sm 0.500 0.000 0.500
Sm 0.500 0.500 0.000

---

(7)
Entry from the Alexandria database: a relaxed structure of NaTl12Pb6 (PBE).

Values from the calculation:
Density of states at the Fermi level in states/eV per cell: 9.3
ΔE_f in meV per atom: 8.1
Size of the total moment in Bohr magnetons per cell: 0.000
Uncorrected energy in eV per atom: -2.7269
Density in g/cm3: 10.3

Lattice parameters (Å, degrees): 8.434 8.434 8.434 90.26 90.26 90.26
Sites, in units of the cell vectors:
Na 0.000 0.000 0.000
Tl 0.046 0.149 0.372
Tl 0.149 0.372 0.046
Tl 0.193 0.480 0.572
Tl 0.372 0.046 0.149
Tl 0.428 0.807 0.520
Tl 0.480 0.572 0.193
Tl 0.520 0.428 0.807
Tl 0.572 0.193 0.480
Tl 0.628 0.954 0.851
Tl 0.807 0.520 0.428
Tl 0.851 0.628 0.954
Tl 0.954 0.851 0.628
Pb 0.114 0.735 0.266
Pb 0.265 0.734 0.886
Pb 0.266 0.114 0.735
Pb 0.734 0.886 0.265
Pb 0.735 0.266 0.114
Pb 0.886 0.265 0.734

---

(8)
Entry from the Alexandria database: a relaxed structure of CaY2Zr2 (PBE).

Values from the calculation:
Density of states at the Fermi level in states/eV per cell: 10.1
ΔE_f in meV per atom: 252.8
Size of the total moment in Bohr magnetons per cell: 0.000
Uncorrected energy in eV per atom: -6.1524
Density in g/cm3: 4.5

Lattice parameters (Å, degrees): 9.251 9.251 3.450 90.00 90.00 90.00
Sites, in units of the cell vectors:
Ca 0.000 0.000 0.000
Ca 0.500 0.500 0.000
Y 0.128 0.372 0.000
Y 0.372 0.872 0.000
Y 0.628 0.128 0.000
Y 0.872 0.628 0.000
Zr 0.168 0.668 0.500
Zr 0.332 0.168 0.500
Zr 0.668 0.832 0.500
Zr 0.832 0.332 0.500